TmSN | PBE | relaxed

The uncorrected formation energy is -1.13 eV per atom. The calculation puts the total energy at -40.7 eV per cell. Its energy above the most stable polymorph in this dataset is 0.0 kJ/mol of atoms. The volume comes out at 18.8 Å³/atom. Its crystal system is triclinic.

It has space group P-1 (No. 2), with a = 4.005 Å, b = 4.817 Å, c = 6.204 Å, α = 99.57°, β = 91.77° and γ = 106.63°. The distinct sites, in fractional coordinates, are Tm at (0.208, 0.424, 0.276), S at (0.174, 0.164, 0.830) and N at (0.210, 0.369, 0.622).